The following is a DFT calculation (PBE) of Sr2SiAu after structural relaxation.

**Symmetry**: R-3m
**ΔE_f (raw)**: -123 kJ/mol of formula units
**DOS(E_F)**: 2.25 states/eV per cell

POSCAR file:
```
Sr2SiAu
1.0
2.220 1.282 7.794
-2.220 1.282 7.794
0.000 -2.564 7.794
Sr Si Au
2 1 1
direct
0.246 0.246 0.246
0.754 0.754 0.754
0.500 0.500 0.500
0.000 0.000 0.000
```

=====

The following is a DFT calculation (PBE) of Sr2TbSi3Au12 after structural relaxation.

**Symmetry**: R-3m
**ΔE_f (raw)**: -354 kJ/mol of formula units
**DOS(E_F)**: 6.37 states/eV per cell

POSCAR file:
```
Sr2TbSi3Au12
1.0
4.459 2.575 6.419
-4.459 2.575 6.419
0.000 -5.149 6.419
Sr Tb Si Au
2 1 3 12
direct
0.098 0.098 0.098
0.902 0.902 0.902
0.500 0.500 0.500
0.000 0.500 0.500
0.500 0.000 0.500
0.500 0.500 0.000
0.104 0.640 0.640
0.187 0.187 0.637
0.187 0.637 0.187
0.360 0.360 0.896
0.360 0.896 0.360
0.363 0.813 0.813
0.637 0.187 0.187
0.640 0.104 0.640
0.640 0.640 0.104
0.813 0.363 0.813
0.813 0.813 0.363
0.896 0.360 0.360
```

=====

The following is a DFT calculation (PBE) of SrTiSi2Au after structural relaxation.

**Symmetry**: P4/mmm
**ΔE_f (raw)**: 793 kJ/mol of formula units
**DOS(E_F)**: 7.08 states/eV per cell

POSCAR file:
```
SrTiSi2Au
1.0
5.259 0.000 0.000
0.000 5.259 0.000
0.000 0.000 5.307
Sr Ti Si Au
1 1 2 1
direct
0.000 0.000 0.000
0.500 0.500 0.500
0.000 0.500 0.000
0.500 0.000 0.000
0.000 0.000 0.500
```

=====

The following is a DFT calculation (PBE) of SrTl2Si2Au7 after structural relaxation.

**Symmetry**: C2/m
**ΔE_f (raw)**: -282 kJ/mol of formula units
**DOS(E_F)**: 2.98 states/eV per cell

POSCAR file:
```
SrTl2Si2Au7
1.0
3.507 -3.437 0.000
3.507 3.437 0.000
-1.701 0.000 11.690
Sr Tl Si Au
1 2 2 7
direct
0.000 0.000 0.000
0.125 0.125 0.387
0.875 0.875 0.613
0.325 0.325 0.791
0.675 0.675 0.209
0.144 0.559 0.187
0.431 0.431 0.601
0.441 0.856 0.813
0.500 0.500 0.000
0.559 0.144 0.187
0.569 0.569 0.399
0.856 0.441 0.813
```

=====

The following is a DFT calculation (PBE) of SrZnSiAu6 after structural relaxation.

**Symmetry**: Imma
**ΔE_f (raw)**: -183 kJ/mol of formula units
**DOS(E_F)**: 7.92 states/eV per cell

POSCAR file:
```
SrZnSiAu6
1.0
-3.556 4.466 5.849
3.556 -4.466 5.849
3.556 4.466 -5.849
Sr Zn Si Au
2 2 2 12
direct
0.456 0.206 0.250
0.544 0.794 0.750
0.000 0.000 0.500
0.000 0.500 0.000
0.000 0.000 0.000
0.500 0.000 0.500
0.119 0.425 0.294
0.119 0.825 0.694
0.167 0.917 0.250
0.269 0.519 0.750
0.369 0.175 0.794
0.369 0.575 0.194
0.631 0.425 0.806
0.631 0.825 0.206
0.731 0.481 0.250
0.833 0.083 0.750
0.881 0.175 0.306
0.881 0.575 0.706
```

=====

The following is a DFT calculation (PBE) of SrZn2SiAu after structural relaxation.

**Symmetry**: Imm2
**ΔE_f (raw)**: -190 kJ/mol of formula units
**DOS(E_F)**: 2.12 states/eV per cell

POSCAR file:
```
SrZn2SiAu
1.0
-2.183 2.210 5.291
2.183 -2.210 5.291
2.183 2.210 -5.291
Sr Zn Si Au
1 2 1 1
direct
0.000 0.000 0.000
0.388 0.388 0.000
0.747 0.247 0.500
0.623 0.623 0.000
0.242 0.742 0.500
```

=====

The following is a DFT calculation (PBE) of Sr2Zn4Si3Au after structural relaxation.

**Symmetry**: P-4m2
**ΔE_f (raw)**: -320 kJ/mol of formula units
**DOS(E_F)**: 2.72 states/eV per cell

POSCAR file:
```
Sr2Zn4Si3Au
1.0
4.268 0.000 0.000
0.000 4.268 0.000
0.000 0.000 10.877
Sr Zn Si Au
2 4 3 1
direct
0.000 0.500 0.245
0.500 0.000 0.755
0.000 0.000 0.000
0.000 0.500 0.640
0.500 0.000 0.360
0.500 0.500 0.000
0.000 0.500 0.868
0.500 0.000 0.132
0.500 0.500 0.500
0.000 0.000 0.500
```

=====

The following is a DFT calculation (PBE) of Sr2Zn3SiAu4 after structural relaxation.

**Symmetry**: P-4m2
**ΔE_f (raw)**: -475 kJ/mol of formula units
**DOS(E_F)**: 4.19 states/eV per cell

POSCAR file:
```
Sr2Zn3SiAu4
1.0
4.612 0.000 0.000
0.000 4.612 0.000
0.000 0.000 10.151
Sr Zn Si Au
2 3 1 4
direct
0.000 0.500 0.249
0.500 0.000 0.751
0.000 0.000 0.000
0.000 0.500 0.626
0.500 0.000 0.374
0.500 0.500 0.000
0.000 0.000 0.500
0.000 0.500 0.882
0.500 0.000 0.118
0.500 0.500 0.500
```

=====

The following is a DFT calculation (PBE) of Sr2ZnSi3Au4 after structural relaxation.

**Symmetry**: P-4m2
**ΔE_f (raw)**: -476 kJ/mol of formula units
**DOS(E_F)**: 4.48 states/eV per cell

POSCAR file:
```
Sr2ZnSi3Au4
1.0
4.469 0.000 0.000
0.000 4.469 0.000
0.000 0.000 10.342
Sr Zn Si Au
2 1 3 4
direct
0.000 0.500 0.249
0.500 0.000 0.751
0.000 0.000 0.500
0.000 0.500 0.871
0.500 0.000 0.129
0.500 0.500 0.500
0.000 0.000 0.000
0.000 0.500 0.630
0.500 0.000 0.370
0.500 0.500 0.000
```

=====

The following is a DFT calculation (PBE) of Sr2ZnSi3Au12 after structural relaxation.

**Symmetry**: R-3m
**ΔE_f (raw)**: -206 kJ/mol of formula units
**DOS(E_F)**: 10.10 states/eV per cell

POSCAR file:
```
Sr2ZnSi3Au12
1.0
4.419 2.551 6.398
-4.419 2.551 6.398
0.000 -5.103 6.398
Sr Zn Si Au
2 1 3 12
direct
0.109 0.109 0.109
0.891 0.891 0.891
0.500 0.500 0.500
0.000 0.500 0.500
0.500 0.000 0.500
0.500 0.500 0.000
0.137 0.621 0.621
0.171 0.171 0.625
0.171 0.625 0.171
0.375 0.829 0.829
0.379 0.379 0.863
0.379 0.863 0.379
0.621 0.137 0.621
0.621 0.621 0.137
0.625 0.171 0.171
0.829 0.375 0.829
0.829 0.829 0.375
0.863 0.379 0.379
```

=====

The following is a DFT calculation (PBE) of TaSiAu after structural relaxation.

**Symmetry**: F-43m
**ΔE_f (raw)**: 45 kJ/mol of formula units
**DOS(E_F)**: 1.95 states/eV per cell

POSCAR file:
```
TaSiAu
1.0
0.000 3.006 3.006
3.006 0.000 3.006
3.006 3.006 0.000
Ta Si Au
1 1 1
direct
0.000 0.000 0.000
0.250 0.250 0.250
0.500 0.500 0.500
```

=====

The following is a DFT calculation (PBE) of TaSiAu4 after structural relaxation.

**Symmetry**: F-43m
**ΔE_f (raw)**: 339 kJ/mol of formula units
**DOS(E_F)**: 4.90 states/eV per cell

POSCAR file:
```
TaSiAu4
1.0
0.000 3.846 3.846
3.846 0.000 3.846
3.846 3.846 0.000
Ta Si Au
1 1 4
direct
0.000 0.000 0.000
0.250 0.250 0.250
0.125 0.625 0.625
0.625 0.125 0.625
0.625 0.625 0.125
0.625 0.625 0.625
```

=====

The following is a DFT calculation (PBE) of TaSiAu2 after structural relaxation.

**Symmetry**: Pmmm
**ΔE_f (raw)**: 49 kJ/mol of formula units
**DOS(E_F)**: 2.30 states/eV per cell

POSCAR file:
```
TaSiAu2
1.0
3.066 0.000 0.000
0.000 4.111 0.000
0.000 0.000 5.504
Ta Si Au
1 1 2
direct
0.000 0.000 0.000
0.000 0.000 0.500
0.500 0.500 0.249
0.500 0.500 0.751
```

=====

The following is a DFT calculation (PBE) of Ta2SiAu after structural relaxation.

**Symmetry**: Pmmm
**ΔE_f (raw)**: -41 kJ/mol of formula units
**DOS(E_F)**: 2.16 states/eV per cell

POSCAR file:
```
Ta2SiAu
1.0
2.862 0.000 0.000
0.000 4.162 0.000
0.000 0.000 5.591
Ta Si Au
2 1 1
direct
0.000 0.000 0.241
0.000 0.000 0.759
0.500 0.500 0.000
0.500 0.500 0.500
```

=====

The following is a DFT calculation (PBE) of TaSiAu2 after structural relaxation.

**Symmetry**: P2/m
**ΔE_f (raw)**: 17 kJ/mol of formula units
**DOS(E_F)**: 1.83 states/eV per cell

POSCAR file:
```
TaSiAu2
1.0
2.965 0.000 0.000
0.000 4.395 0.000
-1.409 0.000 5.236
Ta Si Au
1 1 2
direct
0.000 0.000 0.000
0.500 0.000 0.500
0.388 0.500 0.740
0.612 0.500 0.260
```

=====

The following is a DFT calculation (PBE) of Ta2SiAu after structural relaxation.

**Symmetry**: Cmmm
**ΔE_f (raw)**: -26 kJ/mol of formula units
**DOS(E_F)**: 3.40 states/eV per cell

POSCAR file:
```
Ta2SiAu
1.0
2.817 -4.114 0.000
2.817 4.114 0.000
0.000 0.000 2.888
Ta Si Au
2 1 1
direct
0.000 0.500 0.000
0.500 0.000 0.000
0.000 0.000 0.500
0.500 0.500 0.500
```

=====

The following is a DFT calculation (PBE) of TaSi2Au after structural relaxation.

**Symmetry**: C2/m
**ΔE_f (raw)**: 16 kJ/mol of formula units
**DOS(E_F)**: 1.52 states/eV per cell

POSCAR file:
```
TaSi2Au
1.0
4.549 -1.419 0.000
4.549 1.419 0.000
-1.840 0.000 5.166
Ta Si Au
1 2 1
direct
0.000 0.000 0.000
0.240 0.240 0.798
0.760 0.760 0.202
0.500 0.500 0.500
```

=====

The following is a DFT calculation (PBE) of Ta2SiAu after structural relaxation.

**Symmetry**: Cmm2
**ΔE_f (raw)**: -14 kJ/mol of formula units
**DOS(E_F)**: 2.40 states/eV per cell

POSCAR file:
```
Ta2SiAu
1.0
1.800 -2.287 0.000
1.800 2.287 0.000
0.000 0.000 8.337
Ta Si Au
2 1 1
direct
0.000 0.000 0.000
0.500 0.500 0.268
0.500 0.500 0.771
0.000 0.000 0.532
```

=====

The following is a DFT calculation (PBE) of TaSiAu2 after structural relaxation.

**Symmetry**: P4/mmm
**ΔE_f (raw)**: 48 kJ/mol of formula units
**DOS(E_F)**: 2.16 states/eV per cell

POSCAR file:
```
TaSiAu2
1.0
2.934 0.000 0.000
0.000 2.934 0.000
0.000 0.000 8.062
Ta Si Au
1 1 2
direct
0.000 0.000 0.000
0.000 0.000 0.500
0.500 0.500 0.254
0.500 0.500 0.746
```

=====

The following is a DFT calculation (PBE) of TaSiAu2 after structural relaxation.

**Symmetry**: P4/mmm
**ΔE_f (raw)**: 16 kJ/mol of formula units
**DOS(E_F)**: 2.26 states/eV per cell

POSCAR file:
```
TaSiAu2
1.0
3.879 0.000 0.000
0.000 3.879 0.000
0.000 0.000 4.519
Ta Si Au
1 1 2
direct
0.000 0.000 0.000
0.500 0.500 0.000
0.000 0.500 0.500
0.500 0.000 0.500
```

=====

| no. | total energy (eV per atom) |
| --- | --- |
| 1 | -3.334 |
| 2 | -3.736 |
| 3 | -3.097 |
| 4 | -3.594 |
| 5 | -3.327 |
| 6 | -2.980 |
| 7 | -3.132 |
| 8 | -3.065 |
| 9 | -3.895 |
| 10 | -3.465 |
| 11 | -6.695 |
| 12 | -4.478 |
| 13 | -5.830 |
| 14 | -8.207 |
| 15 | -5.914 |
| 16 | -8.168 |
| 17 | -6.452 |
| 18 | -8.137 |
| 19 | -5.833 |
| 20 | -5.917 |